{
  "formula": "NaFeTe2O6",
  "functional": "PBE+U",
  "state": "optimized geometry",
  "cell": [[5.6289, -0.0001, -0.0018], [-2.8143, 4.8747, -0.0003], [-2.8127, -1.6244, 5.8573]],
  "species": ["O", "O", "O", "O", "O", "O", "Te", "Te", "Fe", "Na"],
  "fractional_positions": [[0.1617, 0.1543, 0.7253], [0.1709, 0.3856, 0.1133], [0.7330, 0.5777, 0.7253], [0.7417, 0.7843, 0.1132], [0.3431, 0.9565, 0.1134], [0.5851, 0.0063, 0.7253], [0.5274, 0.7632, 0.2765], [0.6045, 0.3018, 0.8922], [0.9585, 0.9787, 0.9231], [0.1396, 0.5693, 0.6948]],
  "dos_at_fermi_per_ev_atom": 0.00,
  "energy_ev_per_atom": -5.559
}